1.
! NaSrTlI4 (PBE, relaxed); values from VASP
&SYSTEM
  ibrav = 0, nat = 14, ntyp = 4
/
ATOMIC_SPECIES
Na 22.99 Na.upf
Sr 87.62 Sr.upf
Tl 204.38 Tl.upf
I 126.90 I.upf
CELL_PARAMETERS angstrom
-4.902 4.967 7.105
4.902 -4.967 7.105
4.902 4.967 -7.105
ATOMIC_POSITIONS angstrom
Na -2.451 2.484 3.552
Na 2.451 2.484 3.552
Sr 0.000 0.000 0.000
Sr 0.000 4.967 0.000
Tl 4.902 2.484 -1.981
Tl 0.000 2.484 9.085
I 2.217 2.484 0.152
I 2.685 -2.484 7.257
I 0.000 0.318 3.279
I 4.902 0.318 3.826
I 0.000 4.649 3.279
I 4.902 4.649 3.826
I 2.217 7.451 -0.152
I 2.685 2.484 6.953
! Total moment, μB/atom: 0.000
! Raw formation energy, eV/atom: -1.25


2.
! YCd2In (PBE, relaxed); values from VASP
&SYSTEM
  ibrav = 0, nat = 4, ntyp = 3
/
ATOMIC_SPECIES
Y 88.91 Y.upf
Cd 112.41 Cd.upf
In 114.82 In.upf
CELL_PARAMETERS angstrom
3.370 0.000 0.000
0.000 4.910 0.000
-0.048 0.000 6.132
ATOMIC_POSITIONS angstrom
Y 0.000 0.000 0.000
Cd 1.635 2.455 4.603
Cd 1.662 0.000 3.085
In 1.692 2.455 1.437
! E_form, eV/atom: -0.24
! Total moment, μB/atom: 0.000


3.
! TmSc2Ag (PBE, relaxed); values from VASP
&SYSTEM
  ibrav = 0, nat = 4, ntyp = 3
/
ATOMIC_SPECIES
Tm 168.93 Tm.upf
Sc 44.96 Sc.upf
Ag 107.87 Ag.upf
CELL_PARAMETERS angstrom
4.441 0.000 0.000
0.000 4.441 0.000
0.000 0.000 4.762
ATOMIC_POSITIONS angstrom
Tm 0.000 0.000 0.000
Sc 0.000 2.221 2.381
Sc 2.221 0.000 2.381
Ag 2.221 2.221 0.000
! Energy above the lowest structure with this stoichiometry, eV/atom: 0.092
! E_form, eV/atom: -0.02
! Total moment, μB/atom: 0.228


4.
! CsSn2Te2 (PBE, relaxed); values from VASP
&SYSTEM
  ibrav = 0, nat = 10, ntyp = 3
/
ATOMIC_SPECIES
Cs 132.91 Cs.upf
Sn 118.71 Sn.upf
Te 127.60 Te.upf
CELL_PARAMETERS angstrom
5.319 -6.925 0.000
5.319 6.925 0.000
-5.271 0.000 5.985
ATOMIC_POSITIONS angstrom
Cs 1.366 5.192 4.488
Cs 4.001 -5.192 1.496
Sn 3.979 1.738 0.027
Sn 4.023 1.738 2.966
Sn 1.344 -1.738 3.019
Sn 1.388 -1.738 5.958
Te 4.001 4.743 1.496
Te 1.366 1.271 4.488
Te 4.001 -1.271 1.496
Te 1.366 -4.743 4.488
! Energy above the lowest structure with this stoichiometry, eV/atom: 0.100
! Total moment, μB/atom: 0.000
! Raw formation energy, eV/atom: -0.35


5.
! ErGa3NiOs (PBE, relaxed); values from VASP
&SYSTEM
  ibrav = 0, nat = 12, ntyp = 4
/
ATOMIC_SPECIES
Er 167.26 Er.upf
Ga 69.72 Ga.upf
Ni 58.69 Ni.upf
Os 190.23 Os.upf
CELL_PARAMETERS angstrom
3.893 -5.236 0.000
3.893 5.236 0.000
0.000 0.000 5.515
ATOMIC_POSITIONS angstrom
Er 3.893 3.099 4.136
Er 3.893 -3.099 1.379
Ga 1.944 0.000 0.000
Ga 1.944 0.000 2.757
Ga 3.893 1.951 1.379
Ga 3.893 -1.951 4.136
Ga 5.841 0.000 0.000
Ga 5.841 0.000 2.757
Ni 3.893 0.375 4.136
Ni 3.893 -0.375 1.379
Os 3.893 4.364 1.379
Os 3.893 -4.364 4.136
! E_form, eV/atom: -0.23
! Total moment, μB/atom: 0.000


6.
! LaPm2C (PBE, relaxed); values from VASP
&SYSTEM
  ibrav = 0, nat = 4, ntyp = 3
/
ATOMIC_SPECIES
La 138.91 La.upf
Pm 145.00 Pm.upf
C 12.01 C.upf
CELL_PARAMETERS angstrom
1.836 1.060 9.686
-1.836 1.060 9.686
0.000 -2.120 9.686
ATOMIC_POSITIONS angstrom
La 0.000 0.000 0.000
Pm 0.000 0.000 6.260
Pm 0.000 0.000 22.798
C 0.000 0.000 14.529
! Energy above the lowest structure with this stoichiometry, eV/atom: 0.019
! E_form, eV/atom: -0.04
! Total moment, μB/atom: 0.001


7.
! Tb2Er3ScS6 (PBE, relaxed); values from VASP
&SYSTEM
  ibrav = 0, nat = 12, ntyp = 4
/
ATOMIC_SPECIES
Tb 158.93 Tb.upf
Er 167.26 Er.upf
Sc 44.96 Sc.upf
S 32.06 S.upf
CELL_PARAMETERS angstrom
8.399 -1.927 0.000
8.399 1.927 0.000
-1.790 0.000 7.538
ATOMIC_POSITIONS angstrom
Tb 2.198 0.000 2.510
Tb 12.810 0.000 5.028
Er 1.338 0.000 6.288
Er 7.504 0.000 3.769
Er 13.670 0.000 1.249
Sc 8.399 0.000 0.000
S -1.319 0.000 5.719
S 4.885 0.000 3.115
S 4.015 0.000 6.957
S 10.994 0.000 0.581
S 10.123 0.000 4.422
S 16.327 0.000 1.819
! Total moment, μB/atom: 0.000
! Raw formation energy, eV/atom: -1.95


8.
! ZrRhS2 (PBE, relaxed); values from VASP
&SYSTEM
  ibrav = 0, nat = 4, ntyp = 3
/
ATOMIC_SPECIES
Zr 91.22 Zr.upf
Rh 102.91 Rh.upf
S 32.06 S.upf
CELL_PARAMETERS angstrom
1.753 1.012 7.671
-1.753 1.012 7.671
0.000 -2.024 7.671
ATOMIC_POSITIONS angstrom
Zr 0.000 0.000 0.000
Rh 0.000 0.000 11.507
S 0.000 0.000 9.244
S 0.000 0.000 13.770
! Energy above the lowest structure with this stoichiometry, eV/atom: 0.069
! Total moment, μB/atom: 0.094
! Raw formation energy, eV/atom: -0.73


Copy entry 7 word for word.
! Tb2Er3ScS6 (PBE, relaxed); values from VASP
&SYSTEM
  ibrav = 0, nat = 12, ntyp = 4
/
ATOMIC_SPECIES
Tb 158.93 Tb.upf
Er 167.26 Er.upf
Sc 44.96 Sc.upf
S 32.06 S.upf
CELL_PARAMETERS angstrom
8.399 -1.927 0.000
8.399 1.927 0.000
-1.790 0.000 7.538
ATOMIC_POSITIONS angstrom
Tb 2.198 0.000 2.510
Tb 12.810 0.000 5.028
Er 1.338 0.000 6.288
Er 7.504 0.000 3.769
Er 13.670 0.000 1.249
Sc 8.399 0.000 0.000
S -1.319 0.000 5.719
S 4.885 0.000 3.115
S 4.015 0.000 6.957
S 10.994 0.000 0.581
S 10.123 0.000 4.422
S 16.327 0.000 1.819
! Total moment, μB/atom: 0.000
! Raw formation energy, eV/atom: -1.95


What is the formula in the fifth record?
ErGa3NiOs


What is the total moment in the third record?
0.228 μB/atom


total moment of number 4 (CsSn2Te2)?
0.000 μB/atom